Record 1
Crystalline CdCl4 at its relaxed geometry. Source: the Alexandria database, functional GGA-PBE. Values from VASP.

Computed properties:
VASP energy = -2.297 eV per atom
total moment = 0.000 μB/atom
symmetry = C2/m (12)
ρ = 2.8 g/cm3

Structure (Quantum ESPRESSO input):
```
&SYSTEM
  ibrav = 0, nat = 5, ntyp = 2
/
ATOMIC_SPECIES
Cl 35.45 Cl.upf
Cd 112.41 Cd.upf
ATOMIC_POSITIONS angstrom
Cl 3.9777 2.3403 12.0374
Cl 1.4361 0.8450 5.5437
Cl 3.2532 1.9140 2.9407
Cd 0.0000 0.0000 0.0000
Cl 5.7948 3.4094 9.4344
CELL_PARAMETERS angstrom
3.7638 -0.0713 1.2140
1.7658 3.3247 1.2140
1.7013 1.0010 12.5501
```

Record 2
Crystalline CdCl at its relaxed geometry. Source: the Alexandria database, functional GGA-PBE. Values from VASP.

Computed properties:
VASP energy = -2.103 eV per atom
total moment = 0.000 μB/atom
symmetry = R-3m (166)
ρ = 4.5 g/cm3

Structure (Quantum ESPRESSO input):
```
&SYSTEM
  ibrav = 0, nat = 4, ntyp = 2
/
ATOMIC_SPECIES
Cl 35.45 Cl.upf
Cd 112.41 Cd.upf
ATOMIC_POSITIONS angstrom
Cl -8.0996 -9.3886 0.9607
Cl -4.6752 -5.4192 0.5545
Cd -12.7686 -14.8006 1.5144
Cd -0.0062 -0.0072 0.0007
CELL_PARAMETERS angstrom
-7.1132 -5.2445 1.6344
-5.6776 -6.8037 -1.4995
-4.2423 -7.6956 1.8854
```

Record 3
Crystalline Cd5Cl4 at its relaxed geometry. Source: the Alexandria database, functional GGA-PBE. Values from VASP.

Computed properties:
VASP energy = -1.655 eV per atom
total moment = 0.000 μB/atom
symmetry = P6_3/mcm (193)
ρ = 5.0 g/cm3

Structure (Quantum ESPRESSO input):
```
&SYSTEM
  ibrav = 0, nat = 18, ntyp = 2
/
ATOMIC_SPECIES
Cl 35.45 Cl.upf
Cd 112.41 Cd.upf
ATOMIC_POSITIONS angstrom
Cl -2.9749 -3.7206 4.6343
Cl -3.2651 0.6204 4.2312
Cd -3.9099 -3.8151 1.2113
Cd -1.6060 -0.8709 2.2950
Cl -7.7440 -0.0189 0.8992
Cd -4.3531 1.7758 1.7638
Cd -6.8698 -2.2760 -0.7938
Cd 0.5365 -3.2075 4.5534
Cl -3.4789 -0.4814 0.0709
Cl 0.9305 0.1212 3.3851
Cd -4.6339 -2.2293 6.5704
Cd -5.3432 -1.8539 2.7617
Cl 1.1858 1.2013 7.6111
Cd 2.9525 -0.9339 6.5890
Cl 0.0000 0.0000 0.0000
Cd -0.8968 -1.2463 6.1038
Cd -0.8362 2.2563 4.4072
Cl -1.4333 1.9612 1.5504
CELL_PARAMETERS angstrom
-8.3563 -4.4227 -2.1308
4.9830 -2.5999 7.8955
-2.8666 3.9224 3.1008
```

Record 4
Crystalline CdCl at its relaxed geometry. Source: the Alexandria database, functional GGA-PBE. Values from VASP.

Computed properties:
VASP energy = -2.128 eV per atom
total moment = 0.000 μB/atom
symmetry = P2_12_12_1 (19)
ρ = 4.1 g/cm3

Structure (Quantum ESPRESSO input):
```
&SYSTEM
  ibrav = 0, nat = 16, ntyp = 2
/
ATOMIC_SPECIES
Cl 35.45 Cl.upf
Cd 112.41 Cd.upf
ATOMIC_POSITIONS angstrom
Cl 2.6941 -7.6245 -2.0053
Cd 4.2567 -7.7913 3.2958
Cl 5.5605 -9.9084 3.7935
Cd 1.7610 -6.8340 3.2582
Cd -2.3127 -6.8440 2.3266
Cl 3.0596 -10.1601 1.1289
Cl -0.4637 -5.0850 -1.4432
Cl -0.0382 -5.3063 4.3764
Cd 5.1180 -11.6080 1.8280
Cd 3.8128 -5.1306 0.5445
Cd -2.8781 -4.2798 -0.8565
Cl -0.4125 -2.8249 1.5469
Cd 4.4795 -9.1757 -1.0913
Cl -0.0284 -7.4947 1.4390
Cd 1.3901 -4.0414 0.2431
Cl 5.2560 -7.3011 0.7120
CELL_PARAMETERS angstrom
-1.7258 -3.1151 6.2316
-3.3228 -3.9032 -2.8714
8.9554 -6.9079 -0.9731
```

Record 5
Crystalline CdCl at its relaxed geometry. Source: the Alexandria database, functional GGA-PBE. Values from VASP.

Computed properties:
VASP energy = -1.606 eV per atom
total moment = 0.000 μB/atom
symmetry = P6_3/mmc (194)
ρ = 4.3 g/cm3

Structure (Quantum ESPRESSO input):
```
&SYSTEM
  ibrav = 0, nat = 8, ntyp = 2
/
ATOMIC_SPECIES
Cl 35.45 Cl.upf
Cd 112.41 Cd.upf
ATOMIC_POSITIONS angstrom
Cl 2.4099 -1.3913 10.0878
Cd 0.0000 0.0000 2.8306
Cd 2.4099 -1.3913 2.8306
Cl 2.4099 -1.3913 6.8955
Cd 0.0000 0.0000 8.4917
Cl 2.4099 1.3913 4.4267
Cl 2.4099 1.3913 1.2344
Cd 2.4099 1.3913 8.4917
CELL_PARAMETERS angstrom
2.4099 -4.1740 0.0000
2.4099 4.1740 0.0000
0.0000 0.0000 11.3222
```

Record 6
Crystalline CdCl3 at its relaxed geometry. Source: the Alexandria database, functional GGA-PBE. Values from VASP.

Computed properties:
VASP energy = -1.792 eV per atom
total moment = 0.000 μB/atom
symmetry = R-3m (166)
ρ = 3.8 g/cm3

Structure (Quantum ESPRESSO input):
```
&SYSTEM
  ibrav = 0, nat = 4, ntyp = 2
/
ATOMIC_SPECIES
Cl 35.45 Cl.upf
Cd 112.41 Cd.upf
ATOMIC_POSITIONS angstrom
Cl 1.6360 2.3711 0.1125
Cd 0.0000 0.0000 0.0000
Cl 1.6360 -1.2107 2.0418
Cl -1.7125 1.0998 2.0418
CELL_PARAMETERS angstrom
4.9846 0.0606 0.1125
-1.7125 4.6815 0.1125
-1.7125 -2.4820 3.9710
```